IrBr (GGA-PBEsol, optimized geometry); space group = No. 11; DFT total energy = -21.400 eV/cell; raw formation energy = 497 meV/atom; crystal system = monoclinic
1.0
2.731 0.000 -0.002
0.000 3.642 0.000
-1.331 0.000 8.537
Ir Br
2 2
Direct
0.955 0.750 0.908
0.045 0.250 0.092
0.154 0.750 0.315
0.846 0.250 0.685